# 1
First-principles (PBE) data for a relaxed structure of Y3ZnHg, as listed in Alexandria.

abc: 5.398 5.398 5.398
angles: 90.00 90.00 90.00
Atoms (fractional coordinates):
Y (0.000, 0.000, 0.500)
Y (0.000, 0.500, 0.000)
Y (0.500, 0.000, 0.000)
Zn (0.000, 0.000, 0.000)
Hg (0.500, 0.500, 0.500)

Output
**Size of the total moment**: 1.8 μB per cell
**Space-group type**: Pm-3m, No. 221
**E_form**: 140 meV per atom



# 2
First-principles (PBE) data for a relaxed structure of Y3Zn8Hg3, as listed in Alexandria.

abc: 8.416 8.416 8.416
angles: 149.56 112.05 76.26
Atoms (fractional coordinates):
Y (0.000, 0.000, 0.000)
Y (0.301, 0.301, 0.000)
Y (0.699, 0.699, 0.000)
Zn (0.040, 0.670, 0.370)
Zn (0.119, 0.852, 0.267)
Zn (0.300, 0.670, 0.630)
Zn (0.416, 0.148, 0.267)
Zn (0.584, 0.852, 0.733)
Zn (0.700, 0.330, 0.370)
Zn (0.881, 0.148, 0.733)
Zn (0.960, 0.330, 0.630)
Hg (0.280, 0.500, 0.780)
Hg (0.500, 0.000, 0.500)
Hg (0.720, 0.500, 0.220)

Output
**Size of the total moment**: 0.0 μB per cell
**Space-group type**: Immm, No. 71
**E_form**: -295 meV per atom